LiFeCuO4 after structural relaxation. Source: Alexandria, functional PBE+U.

Properties
* symmetry: Imma, No. 74
* E_tot: -5.58 eV per atom
* magnetization: 3.99 μB/f.u.

Lattice parameters (Å, degrees): 5.6361 6.2833 6.2833 52.03 63.34 63.34
Fractional positions:
Li 0.1029 0.1473 0.1473
Li 0.8971 0.8527 0.8527
Fe 0.0000 0.5000 0.5000
Fe 0.5000 0.5000 0.5000
Cu 0.5000 0.0000 0.5000
Cu 0.5000 0.5000 0.0000
O 0.2531 0.2783 0.2783
O 0.2379 0.2850 0.7394
O 0.2379 0.7394 0.2850
O 0.6904 0.2783 0.2783
O 0.3096 0.7217 0.7217
O 0.7622 0.7150 0.2606
O 0.7621 0.2606 0.7150
O 0.7469 0.7217 0.7217